VASP calculation (SCAN) on a PBEsol-optimized structure of LiGa3Co.

Values from the calculation:
E_tot = -69.58 eV/f.u.
space-group type = Pm-3m (221)
magnetization = 0.00 μB per formula unit

Cell lengths 4.4758, 4.4758, 4.4758 Å; angles 90.00, 90.00, 90.00 degrees
Element x y z (fractional)
Ga: 0.0000 0.5000 0.0000
Ga: 0.0000 0.0000 0.5000
Ga: 0.5000 0.0000 0.0000
Li: 0.5000 0.5000 0.5000
Co: 0.0000 0.0000 0.0000